Entry from the Alexandria database: an optimized crystal structure of LaHoPdAu (PBE).

Summary:
- space group = Amm2 (38)
- ρ (g cm⁻³) = 10.09
- final energy (eV per atom) = -5.345

Cell lengths 4.827, 5.700, 5.700 Å; angles 39.59, 90.00, 90.00 degrees
Sites, in units of the cell vectors:
La1 0.000 0.000 0.000
Ho1 0.500 0.725 0.725
Pd1 0.000 0.272 0.272
Au1 0.500 0.442 0.442


Entry from the Alexandria database: an optimized crystal structure of LaHoRhAu (PBE).

Summary:
- space group = F-43m (216)
- ρ (g cm⁻³) = 10.73
- final energy (eV per atom) = -5.779

Cell lengths 5.094, 5.094, 5.094 Å; angles 60.00, 60.00, 60.00 degrees
Sites, in units of the cell vectors:
La1 0.000 0.000 0.000
Ho1 0.500 0.500 0.500
Rh1 0.250 0.250 0.250
Au1 0.750 0.750 0.750


Entry from the Alexandria database: an optimized crystal structure of La2HoTe5Au (PBE).

Summary:
- space group = Cmc2_1 (36)
- uncorrected formation energy (meV per atom) = -1292
- ρ (g cm⁻³) = 7.56

Cell lengths 9.853, 9.853, 13.266 Å; angles 90.00, 90.00, 154.15 degrees
Sites, in units of the cell vectors:
La1 0.114 0.886 0.500
La2 0.123 0.877 0.121
La3 0.877 0.123 0.621
La4 0.886 0.114 0.000
Ho1 0.189 0.811 0.821
Ho2 0.811 0.189 0.321
Te1 0.040 0.960 0.882
Te2 0.290 0.710 0.481
Te3 0.304 0.696 0.153
Te4 0.353 0.647 0.813
Te5 0.500 0.500 0.087
Te6 0.500 0.500 0.587
Te7 0.647 0.353 0.313
Te8 0.696 0.304 0.653
Te9 0.710 0.290 0.981
Te10 0.960 0.040 0.382
Au1 0.427 0.573 0.268
Au2 0.573 0.427 0.768


Entry from the Alexandria database: an optimized crystal structure of LaHoTlAu (PBE).

Summary:
- space group = F-43m (216)
- ρ (g cm⁻³) = 10.67
- final energy (eV per atom) = -4.330

Cell lengths 5.374, 5.374, 5.374 Å; angles 60.00, 60.00, 60.00 degrees
Sites, in units of the cell vectors:
La1 0.000 0.000 0.000
Ho1 0.500 0.500 0.500
Tl1 0.250 0.250 0.250
Au1 0.750 0.750 0.750


Entry from the Alexandria database: an optimized crystal structure of LaHo2TmAu4 (PBE).

Summary:
- space group = R-3m (166)
- ρ (g cm⁻³) = 12.32
- final energy (eV per atom) = -4.800

Cell lengths 9.100, 9.100, 9.100 Å; angles 32.38, 32.38, 32.38 degrees
Sites, in units of the cell vectors:
La1 0.000 0.000 0.000
Ho1 0.247 0.247 0.247
Ho2 0.753 0.753 0.753
Tm1 0.500 0.500 0.500
Au1 0.129 0.129 0.129
Au2 0.385 0.385 0.385
Au3 0.615 0.615 0.615
Au4 0.871 0.871 0.871


Entry from the Alexandria database: an optimized crystal structure of Li2HoAu2 (PBE).

Summary:
- space group = P-3m1 (164)
- ρ (g cm⁻³) = 8.74
- final energy (eV per atom) = -3.500

Cell lengths 4.868, 4.868, 5.305 Å; angles 90.00, 90.00, 120.00 degrees
Sites, in units of the cell vectors:
Li1 0.333 0.667 0.133
Li2 0.667 0.333 0.867
Ho1 0.000 0.000 0.500
Au1 0.333 0.667 0.647
Au2 0.667 0.333 0.353


Entry from the Alexandria database: an optimized crystal structure of LiHoAu3 (PBE).

Summary:
- space group = Pmmn (59)
- ρ (g cm⁻³) = 13.12
- final energy (eV per atom) = -3.888

Cell lengths 4.664, 6.568, 6.302 Å; angles 90.00, 90.00, 90.00 degrees
Sites, in units of the cell vectors:
Li1 0.250 0.250 0.069
Li2 0.750 0.750 0.931
Ho1 0.250 0.750 0.267
Ho2 0.750 0.250 0.733
Au1 0.250 0.250 0.455
Au2 0.250 0.541 0.801
Au3 0.250 0.959 0.801
Au4 0.750 0.041 0.199
Au5 0.750 0.459 0.199
Au6 0.750 0.750 0.545


Entry from the Alexandria database: an optimized crystal structure of Li2HoAu4 (PBE).

Summary:
- space group = I4/mmm (139)
- ρ (g cm⁻³) = 11.67
- final energy (eV per atom) = -3.611

Cell lengths 7.955, 7.955, 7.955 Å; angles 148.43, 148.43, 45.25 degrees
Sites, in units of the cell vectors:
Li1 0.245 0.245 0.000
Li2 0.755 0.755 0.000
Ho1 0.500 0.500 0.000
Au1 0.138 0.638 0.500
Au2 0.362 0.862 0.500
Au3 0.638 0.138 0.500
Au4 0.862 0.362 0.500


Entry from the Alexandria database: an optimized crystal structure of LiHoAu (PBE).

Summary:
- space group = P-6m2 (187)
- ρ (g cm⁻³) = 9.80
- final energy (eV per atom) = -3.773

Cell lengths 4.478, 4.478, 3.599 Å; angles 90.00, 90.00, 120.00 degrees
Sites, in units of the cell vectors:
Li1 0.000 0.000 0.000
Ho1 0.667 0.333 0.500
Au1 0.333 0.667 0.000


Entry from the Alexandria database: an optimized crystal structure of LiHo6Au5 (PBE).

Summary:
- space group = Immm (71)
- ρ (g cm⁻³) = 11.85
- final energy (eV per atom) = -4.561

Cell lengths 8.850, 8.850, 8.850 Å; angles 147.04, 132.06, 59.40 degrees
Sites, in units of the cell vectors:
Li1 0.000 0.000 0.000
Ho1 0.083 0.831 0.252
Ho2 0.260 0.500 0.760
Ho3 0.422 0.169 0.252
Ho4 0.578 0.831 0.748
Ho5 0.740 0.500 0.240
Ho6 0.917 0.169 0.748
Au1 0.147 0.647 0.500
Au2 0.329 0.329 0.000
Au3 0.500 0.000 0.500
Au4 0.671 0.671 0.000
Au5 0.853 0.353 0.500


Entry from the Alexandria database: an optimized crystal structure of LiHo2Au3 (PBE).

Summary:
- space group = P4/mmm (123)
- ρ (g cm⁻³) = 12.38
- final energy (eV per atom) = -4.244

Cell lengths 3.529, 3.529, 9.991 Å; angles 90.00, 90.00, 90.00 degrees
Sites, in units of the cell vectors:
Li1 0.000 0.000 0.000
Ho1 0.000 0.000 0.315
Ho2 0.000 0.000 0.685
Au1 0.500 0.500 0.144
Au2 0.500 0.500 0.500
Au3 0.500 0.500 0.856


Entry from the Alexandria database: an optimized crystal structure of Li2HoAu6 (PBE).

Summary:
- space group = C2/c (15)
- ρ (g cm⁻³) = 13.68
- final energy (eV per atom) = -3.631

Cell lengths 8.339, 8.339, 5.074 Å; angles 97.90, 97.90, 71.77 degrees
Sites, in units of the cell vectors:
Li1 0.046 0.292 0.092
Li2 0.292 0.046 0.592
Li3 0.708 0.954 0.408
Li4 0.954 0.708 0.908
Ho1 0.368 0.632 0.750
Ho2 0.632 0.368 0.250
Au1 0.055 0.826 0.463
Au2 0.143 0.401 0.653
Au3 0.174 0.945 0.037
Au4 0.251 0.510 0.197
Au5 0.401 0.143 0.153
Au6 0.490 0.749 0.303
Au7 0.510 0.251 0.697
Au8 0.599 0.857 0.847
Au9 0.749 0.490 0.803
Au10 0.826 0.055 0.963
Au11 0.857 0.599 0.347
Au12 0.945 0.174 0.537


Entry from the Alexandria database: an optimized crystal structure of LiHo4Au3 (PBE).

Summary:
- space group = C2/m (12)
- ρ (g cm⁻³) = 11.24
- final energy (eV per atom) = -4.429

Cell lengths 8.027, 8.027, 5.087 Å; angles 108.38, 108.38, 36.95 degrees
Sites, in units of the cell vectors:
Li1 0.000 0.000 0.000
Ho1 0.127 0.127 0.626
Ho2 0.373 0.373 0.873
Ho3 0.627 0.627 0.127
Ho4 0.873 0.873 0.374
Au1 0.232 0.232 0.231
Au2 0.500 0.500 0.500
Au3 0.768 0.768 0.769